## YMg7Zn5 (PBE-GGA)

Data for YMg7Zn5 after structural relaxation.

Cell lengths 7.3118, 7.3118, 7.3118 Å; angles 135.70, 98.89, 97.46 degrees
Closest atoms and distances in Å follow each position.
Sites, in units of the cell vectors:
Y 0.0000 0.0000 0.0000  10 Mg 3.29-3.52, 6 Zn 3.42-3.58
Mg 0.2075 0.5033 0.7042  5 Zn 2.78-2.84, 3 Mg 2.90-3.07
Mg 0.2269 0.7269 0.5000  4 Zn 2.81, 6 Mg 2.90-3.09
Mg 0.3514 0.3514 0.0000  4 Zn 2.94, 5 Mg 2.97-3.17
Mg 0.3558 0.0096 0.3462  5 Zn 2.88-3.07, 4 Mg 2.92-3.09
Mg 0.6592 0.6592 0.0000  6 Zn 2.86-3.03, 3 Mg 2.97-3.19
Mg 0.6634 0.0096 0.6538  5 Zn 2.88-3.07, 4 Mg 2.92-3.09
Mg 0.7990 0.5033 0.2958  5 Zn 2.78-2.84, 3 Mg 2.90-3.07
Zn 0.0003 0.0060 0.4940  3 Zn 2.72-2.76, 7 Mg 2.78-2.97
Zn 0.0003 0.5062 0.9943  3 Zn 2.72-2.76, 7 Mg 2.78-2.97
Zn 0.5120 0.0060 0.0057  3 Zn 2.72-2.76, 7 Mg 2.78-2.97
Zn 0.5120 0.5062 0.5060  3 Zn 2.72-2.76, 7 Mg 2.78-2.97
Zn 0.7899 0.2899 0.5000  4 Zn 2.72, 4 Mg 2.83-3.03

Summary:
For the calculated formation energy, the calculation gives -0.14 eV per atom. The value obtained for the spin magnetization is 0.0 μB/cell. The calculation puts the density of states at the Fermi level at 4.75 states/eV/cell.


## Y4MgZn (PBE-GGA)

Data for Y4MgZn after structural relaxation.

Cell lengths 6.3433, 6.3433, 6.3433 Å; angles 60.00, 60.00, 60.00 degrees
Closest atoms and distances in Å follow each position.
Sites, in units of the cell vectors:
Y 0.1249 0.1249 0.1249  6 Y 3.17
Y 0.1249 0.1249 0.6253  6 Y 3.17
Y 0.1249 0.6253 0.1249  6 Y 3.17
Y 0.6253 0.1249 0.1249  6 Y 3.17
Mg 0.5000 0.5000 0.5000  12 Y 3.72, 4 Zn 3.88
Zn 0.7500 0.7500 0.7500  12 Y 3.72, 4 Mg 3.88

Summary:
For the calculated formation energy, the calculation gives 0.41 eV per atom. The value obtained for the spin magnetization is 0.0 μB/cell. For the polymorph energy (0 for the lowest one), the calculation gives 545 meV per atom. The calculation puts the density of states at the Fermi level at 5.25 states/eV/cell.


## Y3MgZn (PBE-GGA)

Data for Y3MgZn after structural relaxation.

Cell lengths 10.3341, 10.3341, 5.1578 Å; angles 90.00, 90.00, 151.08 degrees
Closest atoms and distances in Å follow each position.
Sites, in units of the cell vectors:
Y 0.0627 0.9373 0.7500  2 Mg 3.20, 2 Zn 3.24
Y 0.2493 0.7507 0.7500  4 Zn 3.13-3.15, 4 Mg 3.17-3.19
Y 0.4345 0.5655 0.7500  2 Mg 3.16, 2 Zn 3.20
Y 0.5655 0.4345 0.2500  2 Mg 3.16, 2 Zn 3.20
Y 0.7507 0.2493 0.2500  4 Zn 3.13-3.15, 4 Mg 3.17-3.19
Y 0.9373 0.0627 0.2500  2 Mg 3.20, 2 Zn 3.24
Mg 0.1570 0.8430 0.2500  8 Y 3.16-3.20
Mg 0.8430 0.1570 0.7500  8 Y 3.16-3.20
Zn 0.3395 0.6605 0.2500  8 Y 3.13-3.24
Zn 0.6605 0.3395 0.7500  8 Y 3.13-3.24

Summary:
For the calculated formation energy, the calculation gives -0.15 eV per atom. The value obtained for the spin magnetization is 0.0 μB/cell. For the polymorph energy (0 for the lowest one), the calculation gives 0 meV per atom. The calculation puts the density of states at the Fermi level at 11.73 states/eV/cell.


## YMg2Zn2 (PBE-GGA)

Data for YMg2Zn2 after structural relaxation.

Cell lengths 6.7451, 6.7451, 6.7451 Å; angles 143.74, 143.74, 52.22 degrees
Closest atoms and distances in Å follow each position.
Sites, in units of the cell vectors:
Y 0.0000 0.0000 0.0000  8 Zn 3.21
Mg 0.2500 0.7500 0.5000  4 Zn 2.77, 4 Mg 2.97
Mg 0.7500 0.2500 0.5000  4 Zn 2.77, 4 Mg 2.97
Zn 0.3991 0.3991 0.0000  1 Zn 2.44
Zn 0.6009 0.6009 0.0000  1 Zn 2.44

Summary:
For the calculated formation energy, the calculation gives -0.22 eV per atom. The value obtained for the spin magnetization is 0.0 μB/cell. For the polymorph energy (0 for the lowest one), the calculation gives 0 meV per atom. The calculation puts the density of states at the Fermi level at 3.27 states/eV/cell.


## Y5Mg12Zn3 (PBE-GGA)

Data for Y5Mg12Zn3 after structural relaxation.

Cell lengths 14.9596, 14.9596, 14.9596 Å; angles 109.47, 109.47, 109.47 degrees
Closest atoms and distances in Å follow each position.
Sites, in units of the cell vectors:
Y 0.0000 0.0000 0.0000  6 Mg 3.07
Y 0.0000 0.0000 0.5000  6 Mg 3.07
Y 0.0000 0.5000 0.0000  6 Mg 3.07
Y 0.0000 0.5000 0.5000  6 Mg 3.07
Y 0.1250 0.7500 0.8750  4 Mg 3.18
Y 0.1250 0.8750 0.2500  4 Mg 3.18
Y 0.2500 0.1250 0.8750  4 Mg 3.18
Y 0.2500 0.6250 0.3750  4 Mg 3.18
Y 0.3750 0.2500 0.6250  4 Mg 3.18
Y 0.3750 0.6250 0.7500  4 Mg 3.18
Y 0.5000 0.0000 0.0000  6 Mg 3.07
Y 0.5000 0.0000 0.5000  6 Mg 3.07
Y 0.5000 0.5000 0.0000  6 Mg 3.07
Y 0.5000 0.5000 0.5000  6 Mg 3.07
Y 0.6250 0.3750 0.2500  4 Mg 3.18
Y 0.6250 0.7500 0.3750  4 Mg 3.18
Y 0.7500 0.3750 0.6250  4 Mg 3.18
Y 0.7500 0.8750 0.1250  4 Mg 3.18
Y 0.8750 0.1250 0.7500  4 Mg 3.18
Y 0.8750 0.2500 0.1250  4 Mg 3.18
Mg 0.0458 0.6354 0.3885  1 Zn 2.61, 1 Mg 2.92
Mg 0.0458 0.9104 0.6573  1 Zn 2.61, 1 Mg 2.92
Mg 0.0896 0.2469 0.1354  1 Zn 2.61, 1 Mg 2.92
Mg 0.0896 0.3427 0.9542  1 Zn 2.61, 1 Mg 2.92
Mg 0.1115 0.7469 0.6573  1 Zn 2.61, 1 Mg 2.92
Mg 0.1115 0.8646 0.4542  1 Zn 2.61, 1 Mg 2.92
Mg 0.1354 0.0896 0.2469  1 Zn 2.61, 1 Mg 2.92
Mg 0.1354 0.5458 0.8885  1 Zn 2.61, 1 Mg 2.92
Mg 0.1573 0.2469 0.6115  1 Zn 2.61, 1 Mg 2.92
Mg 0.1573 0.4104 0.5458  1 Zn 2.61, 1 Mg 2.92
Mg 0.2469 0.1354 0.0896  1 Zn 2.61, 1 Mg 2.92
Mg 0.2469 0.6115 0.1573  1 Zn 2.61, 1 Mg 2.92
Mg 0.2531 0.3427 0.8885  1 Zn 2.61, 1 Mg 2.92
Mg 0.2531 0.4104 0.3646  1 Zn 2.61, 1 Mg 2.92
Mg 0.3427 0.8885 0.2531  1 Zn 2.61, 1 Mg 2.92
Mg 0.3427 0.9542 0.0896  1 Zn 2.61, 1 Mg 2.92
Mg 0.3646 0.2531 0.4104  1 Zn 2.61, 1 Mg 2.92
Mg 0.3646 0.6115 0.9542  1 Zn 2.61, 1 Mg 2.92
Mg 0.3885 0.0458 0.6354  1 Zn 2.61, 1 Mg 2.92
Mg 0.3885 0.8427 0.7531  1 Zn 2.61, 1 Mg 2.92
Mg 0.4104 0.3646 0.2531  1 Zn 2.61, 1 Mg 2.92
Mg 0.4104 0.5458 0.1573  1 Zn 2.61, 1 Mg 2.92
Mg 0.4542 0.1115 0.8646  1 Zn 2.61, 1 Mg 2.92
Mg 0.4542 0.8427 0.5896  1 Zn 2.61, 1 Mg 2.92
Mg 0.5458 0.1573 0.4104  1 Zn 2.61, 1 Mg 2.92
Mg 0.5458 0.8885 0.1354  1 Zn 2.61, 1 Mg 2.92
Mg 0.5896 0.4542 0.8427  1 Zn 2.61, 1 Mg 2.92
Mg 0.5896 0.6354 0.7469  1 Zn 2.61, 1 Mg 2.92
Mg 0.6115 0.1573 0.2469  1 Zn 2.61, 1 Mg 2.92
Mg 0.6115 0.9542 0.3646  1 Zn 2.61, 1 Mg 2.92
Mg 0.6354 0.3885 0.0458  1 Zn 2.61, 1 Mg 2.92
Mg 0.6354 0.7469 0.5896  1 Zn 2.61, 1 Mg 2.92
Mg 0.6573 0.0458 0.9104  1 Zn 2.61, 1 Mg 2.92
Mg 0.6573 0.1115 0.7469  1 Zn 2.61, 1 Mg 2.92
Mg 0.7469 0.5896 0.6354  1 Zn 2.61, 1 Mg 2.92
Mg 0.7469 0.6573 0.1115  1 Zn 2.61, 1 Mg 2.92
Mg 0.7531 0.3885 0.8427  1 Zn 2.61, 1 Mg 2.92
Mg 0.7531 0.8646 0.9104  1 Zn 2.61, 1 Mg 2.92
Mg 0.8427 0.5896 0.4542  1 Zn 2.61, 1 Mg 2.92
Mg 0.8427 0.7531 0.3885  1 Zn 2.61, 1 Mg 2.92
Mg 0.8646 0.4542 0.1115  1 Zn 2.61, 1 Mg 2.92
Mg 0.8646 0.9104 0.7531  1 Zn 2.61, 1 Mg 2.92
Mg 0.8885 0.1354 0.5458  1 Zn 2.61, 1 Mg 2.92
Mg 0.8885 0.2531 0.3427  1 Zn 2.61, 1 Mg 2.92
Mg 0.9104 0.6573 0.0458  1 Zn 2.61, 1 Mg 2.92
Mg 0.9104 0.7531 0.8646  1 Zn 2.61, 1 Mg 2.92
Mg 0.9542 0.0896 0.3427  1 Zn 2.61, 1 Mg 2.92
Mg 0.9542 0.3646 0.6115  1 Zn 2.61, 1 Mg 2.92
Zn 0.1250 0.2500 0.3750  4 Mg 2.61
Zn 0.1250 0.3750 0.7500  4 Mg 2.61
Zn 0.2500 0.3750 0.1250  4 Mg 2.61
Zn 0.2500 0.8750 0.6250  4 Mg 2.61
Zn 0.3750 0.1250 0.2500  4 Mg 2.61
Zn 0.3750 0.7500 0.1250  4 Mg 2.61
Zn 0.6250 0.2500 0.8750  4 Mg 2.61
Zn 0.6250 0.8750 0.7500  4 Mg 2.61
Zn 0.7500 0.1250 0.3750  4 Mg 2.61
Zn 0.7500 0.6250 0.8750  4 Mg 2.61
Zn 0.8750 0.6250 0.2500  4 Mg 2.61
Zn 0.8750 0.7500 0.6250  4 Mg 2.61

Summary:
For the calculated formation energy, the calculation gives 0.60 eV per atom. The value obtained for the spin magnetization is 0.0 μB/cell. The calculation puts the density of states at the Fermi level at 78.15 states/eV/cell.


## YMg3Zn8 (PBE-GGA)

Data for YMg3Zn8 after structural relaxation.

Cell lengths 5.2288, 5.2288, 8.8377 Å; angles 90.00, 90.00, 120.00 degrees
Closest atoms and distances in Å follow each position.
Sites, in units of the cell vectors:
Y 0.0000 0.0000 0.0000  12 Zn 3.06-3.15, 4 Mg 3.25-3.31
Mg 0.0000 0.0000 0.3747  12 Zn 3.04-3.12, 3 Mg 3.22, 1 Y 3.31
Mg 0.6667 0.3333 0.4999  12 Zn 3.05-3.08, 4 Mg 3.22
Mg 0.6667 0.3333 0.8640  12 Zn 3.06-3.31, 1 Mg 3.22, 3 Y 3.25
Zn 0.1635 0.3271 0.6851  6 Zn 2.57-2.74
Zn 0.1635 0.8365 0.6851  6 Zn 2.57-2.74
Zn 0.3333 0.6667 0.4466  6 Zn 2.61-2.68
Zn 0.3333 0.6667 0.9411  6 Zn 2.74, 3 Y 3.06
Zn 0.5023 0.0046 0.1982  6 Zn 2.58-2.74
Zn 0.5023 0.4977 0.1982  6 Zn 2.58-2.74
Zn 0.6729 0.8365 0.6851  6 Zn 2.57-2.74
Zn 0.9954 0.4977 0.1982  6 Zn 2.58-2.74

Summary:
For the calculated formation energy, the calculation gives -0.19 eV per atom. The value obtained for the spin magnetization is 0.0 μB/cell. For the polymorph energy (0 for the lowest one), the calculation gives 0 meV per atom. The calculation puts the density of states at the Fermi level at 5.51 states/eV/cell.